# 1
Below is a relaxed structure of SnH2I, with properties calculated at the PBE-GGA level.

Results
The value obtained for the total magnetic moment is 0.000 μB/f.u. Its crystal system is tetragonal. The calculation puts the total energy at -2.888 eV per atom. The space-group type is I-42d (122). The calculation puts the offset from the most stable computed form at 0 meV per atom.

```
8
Lattice="-3.077 3.077 4.369 3.077 -3.077 4.369 3.077 3.077 -4.369" Properties=species:S:1:pos:R:3 pbc="T T T"
Sn 0.000 0.000 0.000
Sn 0.000 3.077 2.185
H -0.010 1.538 1.092
H 1.538 3.067 3.277
H 0.010 4.615 1.092
H -1.538 3.087 3.277
I 3.077 0.000 2.185
I 0.000 0.000 4.369
```


# 2
Below is a relaxed structure of SnH3I, with properties calculated at the PBE-GGA level.

Results
The value obtained for the total magnetic moment is 0.000 μB/f.u. Its crystal system is cubic. The calculation puts the total energy at -2.116 eV per atom. The space-group type is Pm-3m (221). The calculation puts the offset from the most stable computed form at 549 meV per atom.

```
5
Lattice="4.212 0.000 0.000 0.000 4.212 0.000 0.000 0.000 4.212" Properties=species:S:1:pos:R:3 pbc="T T T"
Sn 0.000 0.000 0.000
H 0.000 2.106 2.106
H 2.106 0.000 2.106
H 2.106 2.106 0.000
I 2.106 2.106 2.106
```


# 3
Below is a relaxed structure of SnHI, with properties calculated at the PBE-GGA level.

Results
The value obtained for the total magnetic moment is 0.000 μB/f.u. Its crystal system is tetragonal. The calculation puts the total energy at -2.684 eV per atom. The space-group type is I4mm (107). The calculation puts the offset from the most stable computed form at 360 meV per atom.

```
3
Lattice="-1.777 1.777 5.824 1.777 -1.777 5.824 1.777 1.777 -5.824" Properties=species:S:1:pos:R:3 pbc="T T T"
Sn 0.000 0.000 0.000
H 0.000 0.000 5.639
I 0.000 0.000 8.754
```


# 4
Below is a relaxed structure of Sn2H2I3, with properties calculated at the PBE-GGA level.

Results
The value obtained for the total magnetic moment is 0.000 μB/f.u. Its crystal system is triclinic. The calculation puts the total energy at -2.643 eV per atom. The space-group type is P-1 (2).

```
7
Lattice="3.859 0.000 0.000 -1.820 5.700 0.000 -0.362 -1.878 11.849" Properties=species:S:1:pos:R:3 pbc="T T T"
Sn -0.137 1.813 4.721
Sn 1.814 2.009 7.128
H -0.768 5.054 1.421
H 2.445 -1.232 10.429
I -0.031 -0.385 10.152
I 1.748 -0.939 5.925
I 1.708 4.207 1.697
```


Which value of total magnetic moment does entry 2 give? 0.000 μB/f.u.